The following is a PBE-GGA calculation of K2AcAlS4 after structural relaxation, from Alexandria via LeMat-Bulk.

a b c (Å): 8.398 8.398 8.846
angles (deg): 121.80 121.80 89.84
Sites, in units of the cell vectors:
K (0.500, 0.500, 0.000)
K (0.500, 0.000, 0.000)
K (0.500, 0.000, 0.500)
K (0.000, 0.000, 0.500)
S (0.249, 0.253, 0.062)
S (0.247, 0.251, 0.438)
S (0.272, 0.710, 0.491)
S (0.751, 0.747, 0.938)
S (0.753, 0.749, 0.562)
S (0.210, 0.772, 0.991)
S (0.790, 0.228, 0.009)
S (0.728, 0.290, 0.509)
Al (0.500, 0.500, 0.500)
Al (0.000, 0.000, 0.000)
Ac (0.000, 0.500, 0.500)
Ac (0.000, 0.500, 0.000)

The calculation puts the uncorrected formation energy at -1.3592 eV per atom.

---

The following is a PBE-GGA calculation of Zr12Ge5Sb3 after structural relaxation, from Alexandria via LeMat-Bulk.

a b c (Å): 13.928 13.928 13.928
angles (deg): 109.47 109.47 109.47
Sites, in units of the cell vectors:
Zr (0.919, 0.832, 0.550)
Zr (0.832, 0.919, 0.050)
Zr (0.332, 0.782, 0.413)
Zr (0.131, 0.413, 0.081)
Zr (0.581, 0.631, 0.413)
Zr (0.050, 0.631, 0.718)
Zr (0.718, 0.587, 0.168)
Zr (0.631, 0.050, 0.218)
Zr (0.587, 0.718, 0.668)
Zr (0.081, 0.168, 0.450)
Zr (0.081, 0.913, 0.131)
Zr (0.131, 0.718, 0.550)
Zr (0.168, 0.087, 0.718)
Zr (0.581, 0.950, 0.668)
Zr (0.913, 0.081, 0.631)
Zr (0.087, 0.919, 0.369)
Zr (0.413, 0.131, 0.581)
Zr (0.168, 0.081, 0.950)
Zr (0.282, 0.413, 0.832)
Zr (0.782, 0.332, 0.913)
Zr (0.450, 0.668, 0.081)
Zr (0.419, 0.050, 0.332)
Zr (0.631, 0.581, 0.913)
Zr (0.332, 0.550, 0.419)
Zr (0.919, 0.087, 0.869)
Zr (0.782, 0.450, 0.369)
Zr (0.419, 0.369, 0.587)
Zr (0.950, 0.369, 0.282)
Zr (0.668, 0.450, 0.581)
Zr (0.450, 0.782, 0.869)
Zr (0.869, 0.587, 0.919)
Zr (0.913, 0.832, 0.782)
Zr (0.869, 0.282, 0.450)
Zr (0.282, 0.869, 0.950)
Zr (0.369, 0.950, 0.782)
Zr (0.087, 0.168, 0.218)
Zr (0.587, 0.869, 0.419)
Zr (0.550, 0.332, 0.919)
Zr (0.413, 0.282, 0.332)
Zr (0.369, 0.419, 0.087)
Zr (0.218, 0.550, 0.631)
Zr (0.218, 0.668, 0.087)
Zr (0.668, 0.218, 0.587)
Zr (0.832, 0.913, 0.282)
Zr (0.718, 0.131, 0.050)
Zr (0.550, 0.218, 0.131)
Zr (0.950, 0.581, 0.168)
Zr (0.050, 0.419, 0.832)
Ge (0.375, 0.250, 0.125)
Ge (0.750, 0.625, 0.375)
Ge (0.500, 0.000, 0.500)
Ge (0.000, 0.000, 0.500)
Ge (0.125, 0.750, 0.375)
Ge (0.125, 0.375, 0.250)
Ge (0.625, 0.750, 0.875)
Ge (0.000, 0.500, 0.000)
Ge (0.625, 0.875, 0.250)
Ge (0.250, 0.375, 0.625)
Ge (0.500, 0.500, 0.000)
Ge (0.000, 0.000, 0.000)
Ge (0.875, 0.625, 0.750)
Ge (0.500, 0.500, 0.500)
Ge (0.500, 0.000, 0.000)
Ge (0.875, 0.250, 0.625)
Ge (0.000, 0.500, 0.500)
Ge (0.250, 0.875, 0.125)
Ge (0.375, 0.125, 0.750)
Ge (0.750, 0.125, 0.875)
Sb (0.125, 0.875, 0.750)
Sb (0.375, 0.750, 0.625)
Sb (0.125, 0.250, 0.875)
Sb (0.625, 0.250, 0.375)
Sb (0.875, 0.750, 0.125)
Sb (0.875, 0.125, 0.250)
Sb (0.375, 0.625, 0.250)
Sb (0.625, 0.375, 0.750)
Sb (0.750, 0.375, 0.125)
Sb (0.750, 0.875, 0.625)
Sb (0.250, 0.625, 0.875)
Sb (0.250, 0.125, 0.375)

The calculation puts the uncorrected formation energy at -0.0544 eV per atom.

---

The following is a PBE-GGA calculation of MoIrRh2 after structural relaxation, from Alexandria via LeMat-Bulk.

a b c (Å): 4.388 4.388 4.388
angles (deg): 60.00 60.00 60.00
Sites, in units of the cell vectors:
Mo (0.000, 0.000, 0.000)
Rh (0.250, 0.250, 0.250)
Rh (0.750, 0.750, 0.750)
Ir (0.500, 0.500, 0.500)

The formation energy is 0.223 eV per atom. The calculation puts the energy above the most stable polymorph in this dataset at 506 meV/atom.

---

The following is a PBE-GGA calculation of Ba2MgI2 after structural relaxation, from Alexandria via LeMat-Bulk.

a b c (Å): 9.870 9.870 4.285
angles (deg): 90.00 90.00 90.00
Sites, in units of the cell vectors:
Ba (0.333, 0.167, 0.500)
Ba (0.833, 0.333, 0.500)
Ba (0.167, 0.667, 0.500)
Ba (0.667, 0.833, 0.500)
I (0.132, 0.368, 0.000)
I (0.632, 0.132, 0.000)
I (0.868, 0.632, 0.000)
I (0.368, 0.868, 0.000)
Mg (0.000, 0.000, 0.000)
Mg (0.500, 0.500, 0.000)

The calculation puts the uncorrected formation energy at -0.8569 eV per atom. The calculation puts the energy above the most stable polymorph in this dataset at 0 meV/atom.

---

The following is a PBE-GGA calculation of NdEuDy2 after structural relaxation, from Alexandria via LeMat-Bulk.

a b c (Å): 3.662 3.662 10.293
angles (deg): 90.00 90.00 90.00
Site moments in Bohr magnetons follow the coordinates.
Sites, in units of the cell vectors:
Dy (0.000, 0.000, 0.762)  -0.11
Dy (0.000, 0.000, 0.238)  -0.11
Nd (0.500, 0.500, 0.000)  0.03
Eu (0.500, 0.500, 0.500)  -6.95

The formation energy is 0.063 eV per atom. The calculation puts the energy above the most stable polymorph in this dataset at 7 meV/atom.

---

The following is a PBE-GGA calculation of K6Rb3Hg5 after structural relaxation, from Alexandria via LeMat-Bulk.

a b c (Å): 5.555 13.447 18.242
angles (deg): 90.00 90.00 90.00
Sites, in units of the cell vectors:
K (0.500, 0.425, 0.171)
K (0.000, 0.976, 0.160)
K (0.000, 0.575, 0.329)
K (0.500, 0.425, 0.829)
K (0.000, 0.029, 0.500)
K (0.000, 0.575, 0.671)
K (0.000, 0.381, 0.500)
K (0.500, 0.619, 0.000)
K (0.500, 0.024, 0.660)
K (0.000, 0.976, 0.840)
K (0.500, 0.971, 0.000)
K (0.500, 0.024, 0.340)
Rb (0.500, 0.753, 0.212)
Rb (0.000, 0.247, 0.288)
Rb (0.500, 0.737, 0.500)
Rb (0.500, 0.753, 0.788)
Rb (0.000, 0.247, 0.712)
Rb (0.000, 0.263, 0.000)
Hg (0.500, 0.218, 0.500)
Hg (0.500, 0.398, 0.376)
Hg (0.000, 0.602, 0.876)
Hg (0.000, 0.782, 0.000)
Hg (0.500, 0.155, 0.847)
Hg (0.500, 0.155, 0.153)
Hg (0.000, 0.602, 0.124)
Hg (0.500, 0.398, 0.624)
Hg (0.000, 0.845, 0.653)
Hg (0.000, 0.845, 0.347)

The formation energy is -0.150 eV per atom.

---

The following is a PBE-GGA calculation of TbNd2Br2N2 after structural relaxation, from Alexandria via LeMat-Bulk.

a b c (Å): 4.516 4.516 8.887
angles (deg): 104.72 104.72 90.00
Site moments in Bohr magnetons follow the coordinates.
Sites, in units of the cell vectors:
N (0.500, 0.000, 0.000)  -0.02
N (0.000, 0.500, 0.000)  -0.02
Br (0.178, 0.178, 0.355)  0.01
Br (0.822, 0.822, 0.645)  0.01
Tb (0.000, 0.000, 0.000)  0.02
Nd (0.411, 0.411, 0.821)  0.34
Nd (0.589, 0.589, 0.179)  0.34

The calculation puts the uncorrected formation energy at -1.3310 eV per atom.

---

The following is a PBE-GGA calculation of Cu10Sn3 after structural relaxation, from Alexandria via LeMat-Bulk.

a b c (Å): 7.388 7.388 7.918
angles (deg): 90.00 90.00 120.00
Sites, in units of the cell vectors:
Sn (0.707, 0.023, 0.750)
Sn (0.316, 0.293, 0.750)
Sn (0.977, 0.684, 0.750)
Sn (0.023, 0.316, 0.250)
Sn (0.684, 0.707, 0.250)
Sn (0.293, 0.977, 0.250)
Cu (0.670, 0.028, 0.084)
Cu (0.358, 0.330, 0.084)
Cu (0.358, 0.330, 0.416)
Cu (0.000, 0.000, 0.000)
Cu (0.330, 0.972, 0.916)
Cu (0.667, 0.333, 0.923)
Cu (0.642, 0.670, 0.916)
Cu (0.972, 0.642, 0.084)
Cu (0.667, 0.333, 0.250)
Cu (0.028, 0.358, 0.584)
Cu (0.667, 0.333, 0.577)
Cu (0.642, 0.670, 0.584)
Cu (0.028, 0.358, 0.916)
Cu (0.972, 0.642, 0.416)
Cu (0.670, 0.028, 0.416)
Cu (0.333, 0.667, 0.423)
Cu (0.330, 0.972, 0.584)
Cu (0.333, 0.667, 0.077)
Cu (0.000, 0.000, 0.500)
Cu (0.333, 0.667, 0.750)

The formation energy is 0.007 eV per atom. The calculation puts the energy above the most stable polymorph in this dataset at 0 meV/atom.

---

The following is a PBE-GGA calculation of Nd3BiH3 after structural relaxation, from Alexandria via LeMat-Bulk.

a b c (Å): 6.536 6.536 6.536
angles (deg): 90.00 90.00 90.00
Sites, in units of the cell vectors:
Nd (0.250, 0.500, 0.000)
Nd (0.750, 0.500, 0.000)
Nd (0.000, 0.750, 0.500)
Nd (0.500, 0.000, 0.750)
Nd (0.500, 0.000, 0.250)
Nd (0.000, 0.250, 0.500)
Bi (0.500, 0.500, 0.500)
Bi (0.000, 0.000, 0.000)
H (0.500, 0.250, 0.000)
H (0.000, 0.500, 0.250)
H (0.500, 0.750, 0.000)
H (0.250, 0.000, 0.500)
H (0.750, 0.000, 0.500)
H (0.000, 0.500, 0.750)

The calculation puts the energy above the most stable polymorph in this dataset at 11 meV/atom.

---

The following is a PBE-GGA calculation of NaH9O5 after structural relaxation, from Alexandria via LeMat-Bulk.

a b c (Å): 4.027 8.022 8.993
angles (deg): 68.96 93.80 81.59
Site moments in Bohr magnetons follow the coordinates.
Sites, in units of the cell vectors:
Na (0.353, 0.227, 0.866)  0.00
Na (0.656, 0.774, 0.133)  0.00
H (0.693, 0.915, 0.787)  0.00
H (0.880, 0.691, 0.454)  0.00
H (0.696, 0.103, 0.190)  0.00
H (0.355, 0.707, 0.394)  0.00
H (0.118, 0.311, 0.544)  0.00
H (0.315, 0.086, 0.212)  0.00
H (0.204, 0.248, 0.399)  0.00
H (0.642, 0.297, 0.604)  0.00
H (0.045, 0.500, 0.976)  0.00
H (0.798, 0.754, 0.599)  0.00
H (0.759, 0.460, 0.637)  0.00
H (0.828, 0.365, 0.186)  0.00
H (0.908, 0.083, 0.388)  0.00
H (0.313, 0.896, 0.810)  0.00
H (0.555, 0.493, 0.031)  0.00
H (0.163, 0.631, 0.817)  0.00
H (0.108, 0.913, 0.612)  0.00
H (0.241, 0.542, 0.362)  0.00
O (0.991, 0.841, 0.697)  0.06
O (0.223, 0.504, 0.903)  0.01
O (0.799, 0.323, 0.680)  0.00
O (0.290, 0.316, 0.470)  0.00
O (0.508, 0.937, 0.853)  0.01
O (0.756, 0.493, 0.103)  0.01
O (0.500, 0.064, 0.146)  0.01
O (0.199, 0.679, 0.318)  0.00
O (0.017, 0.158, 0.301)  0.06
O (0.709, 0.687, 0.529)  0.01

The calculation puts the energy above the most stable polymorph in this dataset at 22 meV/atom.

---

The following is a PBE-GGA calculation of TbRe2C2 after structural relaxation, from Alexandria via LeMat-Bulk.

a b c (Å): 5.588 5.588 5.548
angles (deg): 109.68 109.68 103.85
Sites, in units of the cell vectors:
Tb (0.873, 0.627, 0.750)
Tb (0.127, 0.373, 0.250)
Re (0.229, 0.962, 0.466)
Re (0.538, 0.271, 0.034)
Re (0.462, 0.729, 0.966)
Re (0.771, 0.038, 0.534)
C (0.186, 0.314, 0.750)
C (0.814, 0.686, 0.250)
C (0.425, 0.075, 0.250)
C (0.575, 0.925, 0.750)

The formation energy is -0.029 eV per atom.

---

The following is a PBE-GGA calculation of DyTiNiIr after structural relaxation, from Alexandria via LeMat-Bulk.

a b c (Å): 4.590 4.590 4.590
angles (deg): 60.00 60.00 60.00
Sites, in units of the cell vectors:
Ti (0.250, 0.250, 0.250)
Ni (0.500, 0.500, 0.500)
Ir (0.000, 0.000, 0.000)
Dy (0.750, 0.750, 0.750)

The formation energy is -0.480 eV per atom.

---

The following is a PBE-GGA calculation of Cs3BaTe after structural relaxation, from Alexandria via LeMat-Bulk.

a b c (Å): 7.471 7.471 7.471
angles (deg): 90.00 90.00 90.00
Site moments in Bohr magnetons follow the coordinates.
Sites, in units of the cell vectors:
Cs (0.500, 0.000, 0.000)  0.01
Cs (0.000, 0.500, 0.000)  0.01
Cs (0.000, 0.000, 0.500)  0.01
Ba (0.500, 0.500, 0.500)  0.13
Te (0.000, 0.000, 0.000)  0.01

The calculation puts the uncorrected formation energy at -0.3378 eV per atom.

---

The following is a PBE-GGA calculation of RbZr2Br2 after structural relaxation, from Alexandria via LeMat-Bulk.

a b c (Å): 9.459 9.459 3.345
angles (deg): 90.00 90.00 90.00
Sites, in units of the cell vectors:
Rb (0.500, 0.500, 0.000)
Rb (0.000, 0.000, 0.000)
Br (0.844, 0.656, 0.000)
Br (0.344, 0.844, 0.000)
Br (0.656, 0.156, 0.000)
Br (0.156, 0.344, 0.000)
Zr (0.902, 0.402, 0.500)
Zr (0.598, 0.902, 0.500)
Zr (0.098, 0.598, 0.500)
Zr (0.402, 0.098, 0.500)

The calculation puts the uncorrected formation energy at 0.1355 eV per atom. The calculation puts the energy above the most stable polymorph in this dataset at 646 meV/atom.